Record 1
An optimized crystal structure of Tb2NdPa. Source: Alexandria via LeMat-Bulk, functional PBE-GGA.

Calculated values
For the formation energy from the elements, the calculation gives 308 meV per atom. Its volume is 30.27 Å³ per atom.

a = 3.3584 Å, b = 3.3584 Å, c = 37.1818 Å
α = 90.00°, β = 90.00°, γ = 120.00°
Space group R-3m (No. 166, hexagonal axes)
One atom of each set of equivalent atoms:
Tb: 0.0000 0.0000 0.0863 (multiplicity 6)
Nd: 0.0000 0.0000 0.5000 (multiplicity 3)
Pa: 0.0000 0.0000 0.0000 (multiplicity 3)

---

Record 2
An optimized crystal structure of Tb2NdPa. Source: Alexandria via LeMat-Bulk, functional PBE-GGA.

Calculated values
For the formation energy from the elements, the calculation gives 129 meV per atom. Its volume is 30.48 Å³ per atom.

a = 3.4301 Å, b = 3.4301 Å, c = 10.3624 Å
α = 90.00°, β = 90.00°, γ = 90.00°
Space group P4/mmm (No. 123)
One atom of each set of equivalent atoms:
Tb: 0.0000 0.0000 0.2282 (multiplicity 2)
Nd: 0.5000 0.5000 0.5000 (multiplicity 1)
Pa: 0.5000 0.5000 0.0000 (multiplicity 1)

---

Record 3
An optimized crystal structure of NdPaTc. Source: Alexandria via LeMat-Bulk, functional PBE-GGA.

Calculated values
For the formation energy from the elements, the calculation gives 10 meV per atom. Its volume is 27.48 Å³ per atom.

a = 4.0930 Å, b = 4.0930 Å, c = 34.0839 Å
α = 90.00°, β = 90.00°, γ = 120.00°
Space group R-3m (No. 166, hexagonal axes)
One atom of each set of equivalent atoms:
Nd: 0.0000 0.0000 0.1221 (multiplicity 6)
Pa: 0.0000 0.0000 0.3686 (multiplicity 6)
Tc: 0.0000 0.0000 0.2656 (multiplicity 6)

---

Record 4
An optimized crystal structure of NdPaTc. Source: Alexandria via LeMat-Bulk, functional PBE-GGA.

Calculated values
For the formation energy from the elements, the calculation gives -83 meV per atom. Its volume is 23.85 Å³ per atom.

a = 3.5184 Å, b = 3.5184 Å, c = 11.5616 Å
α = 90.00°, β = 90.00°, γ = 90.00°
Space group I4mm (No. 107)
One atom of each set of equivalent atoms:
Nd: 0.0000 0.0000 0.0000 (multiplicity 2)
Pa: 0.0000 0.0000 0.7009 (multiplicity 2)
Tc: 0.0000 0.0000 0.3042 (multiplicity 2)

---

| no. | size of the total moment (μB per formula unit) | calculated density (g cm⁻³) | polymorph energy (0 for the lowest one) (eV per atom) |
| --- | --- | --- | --- |
| 1 | 0.0 | 9.51 | 0.179 |
| 2 | 0.0 | 9.44 | 0.000 |
| 3 | 0.0 | 9.53 | 0.093 |
| 4 | 0.0 | 10.98 | 0.000 |